Model P:
VASP calculation (PBE-GGA) on crystalline CaLa3Ir at its relaxed geometry.

Results
Mass density   6.3 g cm⁻³
D(E_F)   26.70 states/eV per cell

Cell and atoms, written as CIF:
```
data_CaLa3Ir
_chemical_formula_sum 'Ca4 La12 Ir4'
_symmetry_space_group_name_H-M 'C 1 2/m 1'
_symmetry_Int_Tables_number 12
_cell_length_a 23.221
_cell_length_b 3.895
_cell_length_c 7.853
_cell_angle_alpha 90.00
_cell_angle_beta 106.42
_cell_angle_gamma 90.00
loop_
_symmetry_equiv_pos_as_xyz
'x,y,z'
'-x,-y,-z'
'-x,y,-z'
'x,-y,z'
'x+1/2,y+1/2,z'
'-x+1/2,-y+1/2,-z'
'-x+1/2,y+1/2,-z'
'x+1/2,-y+1/2,z'
loop_
_atom_site_label
_atom_site_type_symbol
_atom_site_fract_x
_atom_site_fract_y
_atom_site_fract_z
_atom_site_occupancy
Ca1 Ca 0.179 0.000 0.064 1
La1 La 0.057 0.000 0.248 1
La2 La 0.073 0.500 0.667 1
La3 La 0.201 0.000 0.603 1
Ir1 Ir 0.157 0.500 0.339 1
```

---

Model Q:
VASP calculation (PBE-GGA) on crystalline CaLa3Ir at its relaxed geometry.

Results
Mass density   5.9 g cm⁻³
D(E_F)   17.56 states/eV per cell

Cell and atoms, written as CIF:
```
data_CaLa3Ir
_chemical_formula_sum 'Ca2 La6 Ir2'
_symmetry_space_group_name_H-M 'P 63/m m c'
_symmetry_Int_Tables_number 194
_symmetry_space_group_name_Hall '-P 6c 2c'
_cell_length_a 4.6409
_cell_length_b 4.6409
_cell_length_c 19.5618
_cell_angle_alpha 90.00
_cell_angle_beta 90.00
_cell_angle_gamma 120.00
loop_
_atom_site_label
_atom_site_type_symbol
_atom_site_fract_x
_atom_site_fract_y
_atom_site_fract_z
_atom_site_occupancy
Ca1 Ca 0.0000 0.0000 0.0000 1
La1 La 0.0000 0.0000 0.2500 1
La2 La 0.3333 0.6667 0.1383 1
Ir1 Ir 0.3333 0.6667 0.7500 1
```

---

model P comes first in stability; the runner-up is 284 meV/atom higher.

---

Model P:
VASP calculation (PBE-GGA) on crystalline KCaCl2 at its relaxed geometry.

Results
Mass density   1.4 g cm⁻³
D(E_F)   3.52 states/eV per cell

Cell and atoms, written as CIF:
```
data_KCaCl2
_chemical_formula_sum 'K3 Ca3 Cl6'
_symmetry_space_group_name_H-M 'R 3 m'
_symmetry_Int_Tables_number 160
_symmetry_space_group_name_Hall 'R 3 -2"'
_cell_length_a 4.2254
_cell_length_b 4.2254
_cell_length_c 33.6081
_cell_angle_alpha 90.00
_cell_angle_beta 90.00
_cell_angle_gamma 120.00
loop_
_atom_site_label
_atom_site_type_symbol
_atom_site_fract_x
_atom_site_fract_y
_atom_site_fract_z
_atom_site_occupancy
K1 K 0.0000 0.0000 0.0000 1
Ca1 Ca 0.0000 0.0000 0.8290 1
Cl1 Cl 0.0000 0.0000 0.2027 1
Cl2 Cl 0.0000 0.0000 0.4551 1
```

---

Model Q:
VASP calculation (PBE-GGA) on crystalline KCaCl2 at its relaxed geometry.

Results
Mass density   1.6 g cm⁻³
D(E_F)   1.34 states/eV per cell

Cell and atoms, written as CIF:
```
data_KCaCl2
_chemical_formula_sum 'K1 Ca1 Cl2'
_symmetry_space_group_name_H-M 'P m m m'
_symmetry_Int_Tables_number 47
_cell_length_a 4.109
_cell_length_b 4.225
_cell_length_c 8.800
_cell_angle_alpha 90.00
_cell_angle_beta 90.00
_cell_angle_gamma 90.00
loop_
_symmetry_equiv_pos_as_xyz
'x,y,z'
'-x,-y,-z'
'-x,-y,z'
'x,y,-z'
'x,-y,-z'
'-x,y,z'
'-x,y,-z'
'x,-y,z'
loop_
_atom_site_label
_atom_site_type_symbol
_atom_site_fract_x
_atom_site_fract_y
_atom_site_fract_z
_atom_site_occupancy
K1 K 0.000 0.000 0.000 1
Ca1 Ca 0.000 0.500 0.500 1
Cl1 Cl 0.500 0.000 0.500 1
Cl2 Cl 0.500 0.500 0.000 1
```

---

model P comes first in stability; the runner-up is 238 meV/atom higher.

---

Model P:
VASP calculation (PBE-GGA) on crystalline Ge2CF at its relaxed geometry.

Results
Mass density   4.8 g cm⁻³
D(E_F)   9.53 states/eV per cell

Cell and atoms, written as CIF:
```
data_Ge2CF
_chemical_formula_sum 'Ge8 C4 F4'
_symmetry_space_group_name_H-M 'I -4 2 d'
_symmetry_Int_Tables_number 122
_symmetry_space_group_name_Hall 'I -4 2bw'
_cell_length_a 5.944
_cell_length_b 5.944
_cell_length_c 6.876
_cell_angle_alpha 90.00
_cell_angle_beta 90.00
_cell_angle_gamma 90.00
loop_
_atom_site_label
_atom_site_type_symbol
_atom_site_fract_x
_atom_site_fract_y
_atom_site_fract_z
_atom_site_occupancy
Ge1 Ge 0.191 0.250 0.125 1
C1 C 0.000 0.000 0.000 1
F1 F 0.000 0.000 0.500 1
```

---

Model Q:
VASP calculation (PBE-GGA) on crystalline Ge2CF at its relaxed geometry.

Results
Mass density   5.8 g cm⁻³
D(E_F)   8.15 states/eV per cell

Cell and atoms, written as CIF:
```
data_Ge2CF
_chemical_formula_sum 'Ge8 C4 F4'
_symmetry_space_group_name_H-M 'F m -3 m'
_symmetry_Int_Tables_number 225
_symmetry_space_group_name_Hall '-F 4 2 3'
_cell_length_a 5.876
_cell_length_b 5.876
_cell_length_c 5.876
_cell_angle_alpha 90.00
_cell_angle_beta 90.00
_cell_angle_gamma 90.00
loop_
_atom_site_label
_atom_site_type_symbol
_atom_site_fract_x
_atom_site_fract_y
_atom_site_fract_z
_atom_site_occupancy
Ge1 Ge 0.250 0.250 0.250 1
C1 C 0.000 0.000 0.000 1
F1 F 0.000 0.000 0.500 1
```

---

model P comes first in stability; the runner-up is 277 meV/atom higher.